# FeSiRh2

A relaxed structure of FeSiRh2 (GGA-PBE, Alexandria).

Lattice parameters (Å, degrees): 4.030 4.030 3.271 90.00 90.00 90.00
Fractional positions:
Fe 0.000 0.000 0.000
Si 0.500 0.500 0.000
Rh 0.000 0.500 0.500
Rh 0.500 0.000 0.500

Output
total moment	4.1	μB per formula unit
total energy	-0.55366	Ry per atom
formation energy without anion corrections	-386	meV/atom